Entry from the Alexandria database: TbSmHg2 at its PBEsol-relaxed geometry (meta-GGA SCAN).

Cell lengths 5.223, 5.223, 5.223 Å; angles 60.00, 60.00, 60.00 degrees
Atoms (fractional coordinates):
Tb 0.000 0.000 0.000
Sm 0.500 0.500 0.500
Hg 0.250 0.250 0.250
Hg 0.750 0.750 0.750

## Properties
* density of states at the Fermi level: 3.0 states/eV/f.u.
* calculated formation energy: -698 meV per atom
* electronic total energy: -230.33 eV for the cell shown
* SG: Fm-3m (225)